ScTiSb2I | PBE | relaxed

Cell: 5.274 5.274 5.473 Å, 90.00 90.00 90.00°
Each line ends with the local moment (μB).
Sites, in units of the cell vectors:
I: 0.000 0.000 0.500  -0.02
Sb: 0.000 0.500 0.000  -0.02
Sb: 0.500 0.000 0.000  -0.02
Sc: 0.500 0.500 0.500  0.46
Ti: 0.000 0.000 0.000  0.09

Results
Offset from the most stable computed form, meV/atom: 0.0
Crystal system: tetragonal
Fermi-level density of states, states/eV per cell: 5.28


ScTl2SbI | PBE | relaxed

Cell: 5.928 5.928 5.403 Å, 90.00 90.00 90.00°
Each line ends with the local moment (μB).
Sites, in units of the cell vectors:
I: 0.000 0.000 0.500  0.07
Sb: 0.500 0.500 0.500  0.49
Tl: 0.000 0.500 0.000  -0.05
Tl: 0.500 0.000 0.000  -0.05
Sc: 0.000 0.000 0.000  -0.31

Results
Crystal system: tetragonal
Fermi-level density of states, states/eV per cell: 3.95


ScTlSbI2 | PBE | relaxed

Cell: 5.763 5.763 5.719 Å, 90.00 90.00 90.00°
Each line ends with the local moment (μB).
Sites, in units of the cell vectors:
I: 0.000 0.500 0.000  0.04
I: 0.500 0.000 0.000  0.04
Sb: 0.000 0.000 0.500  0.18
Tl: 0.500 0.500 0.500  0.01
Sc: 0.000 0.000 0.000  0.00

Results
Offset from the most stable computed form, meV/atom: 0.0
Crystal system: tetragonal
Fermi-level density of states, states/eV per cell: 3.84


ScSb2WI | PBE | relaxed

Cell: 5.213 5.213 5.724 Å, 90.00 90.00 90.00°
Each line ends with the local moment (μB).
Sites, in units of the cell vectors:
I: 0.000 0.000 0.500  0.00
Sb: 0.000 0.500 0.000  -0.05
Sb: 0.500 0.000 0.000  -0.05
Sc: 0.500 0.500 0.500  0.71
W: 0.000 0.000 0.000  0.78

Results
Offset from the most stable computed form, meV/atom: 0.0
Crystal system: tetragonal
Fermi-level density of states, states/eV per cell: 5.24


ScSbWI2 | PBE | relaxed

Cell: 5.528 5.528 5.331 Å, 90.00 90.00 90.00°
Each line ends with the local moment (μB).
Sites, in units of the cell vectors:
I: 0.000 0.500 0.000  0.01
I: 0.500 0.000 0.000  0.01
Sb: 0.000 0.000 0.500  -0.10
Sc: 0.500 0.500 0.500  0.91
W: 0.000 0.000 0.000  1.58

Results
Offset from the most stable computed form, meV/atom: 0.0
Crystal system: tetragonal
Fermi-level density of states, states/eV per cell: 5.37


YScSbI2 | PBE | relaxed

Cell: 5.468 5.468 5.834 Å, 90.00 90.00 90.00°
Sites, in units of the cell vectors:
I: 0.000 0.500 0.000
I: 0.500 0.000 0.000
Sb: 0.000 0.000 0.500
Y: 0.500 0.500 0.500
Sc: 0.000 0.000 0.000

Results
Offset from the most stable computed form, meV/atom: 0.0
Crystal system: tetragonal
Fermi-level density of states, states/eV per cell: 3.63


YScSbI2 | PBE | relaxed

Cell: 5.788 5.788 6.146 Å, 90.00 90.00 90.00°
Each line ends with the local moment (μB).
Sites, in units of the cell vectors:
I: 0.000 0.500 0.000  0.00
I: 0.500 0.000 0.000  0.00
Sb: 0.000 0.000 0.500  -0.06
Y: 0.000 0.000 0.000  0.00
Sc: 0.500 0.500 0.500  0.83

Results
Offset from the most stable computed form, meV/atom: 155.1
Crystal system: tetragonal
Fermi-level density of states, states/eV per cell: 3.23


ScZnSbI2 | PBE | relaxed

Cell: 5.657 5.657 5.783 Å, 90.00 90.00 90.00°
Sites, in units of the cell vectors:
I: 0.000 0.500 0.000
I: 0.500 0.000 0.000
Sb: 0.000 0.000 0.500
Zn: 0.500 0.500 0.500
Sc: 0.000 0.000 0.000

Results
Offset from the most stable computed form, meV/atom: 0.0
Crystal system: tetragonal
Fermi-level density of states, states/eV per cell: 2.81


ScZnSbI2 | PBE | relaxed

Cell: 5.408 5.408 5.442 Å, 90.00 90.00 90.00°
Each line ends with the local moment (μB).
Sites, in units of the cell vectors:
I: 0.000 0.500 0.000  -0.02
I: 0.500 0.000 0.000  -0.02
Sb: 0.000 0.000 0.500  -0.04
Zn: 0.000 0.000 0.000  0.01
Sc: 0.500 0.500 0.500  0.29

Results
Offset from the most stable computed form, meV/atom: 413.8
Crystal system: tetragonal
Fermi-level density of states, states/eV per cell: 4.12


ZrScSbI2 | PBE | relaxed

Cell: 5.590 5.590 5.787 Å, 90.00 90.00 90.00°
Each line ends with the local moment (μB).
Sites, in units of the cell vectors:
I: 0.000 0.500 0.000  -0.01
I: 0.500 0.000 0.000  -0.01
Sb: 0.000 0.000 0.500  -0.04
Sc: 0.500 0.500 0.500  0.90
Zr: 0.000 0.000 0.000  0.08

Results
Offset from the most stable computed form, meV/atom: 0.0
Crystal system: tetragonal
Fermi-level density of states, states/eV per cell: 4.93


ZrScSb2I | PBE | relaxed

Cell: 5.576 5.576 5.582 Å, 90.00 90.00 90.00°
Each line ends with the local moment (μB).
Sites, in units of the cell vectors:
I: 0.000 0.000 0.500  -0.02
Sb: 0.000 0.500 0.000  -0.03
Sb: 0.500 0.000 0.000  -0.03
Sc: 0.500 0.500 0.500  0.60
Zr: 0.000 0.000 0.000  0.00

Results
Offset from the most stable computed form, meV/atom: 0.0
Crystal system: tetragonal
Fermi-level density of states, states/eV per cell: 4.40


Sb3SeI7 | PBE | relaxed

Cell: 8.599 8.603 8.780 Å, 76.34 60.68 60.02°
Sites, in units of the cell vectors:
Sb: 0.059 0.266 0.616
Sb: 0.581 0.745 0.614
Sb: 0.060 0.745 0.614
Se: 0.802 0.588 0.809
I: 0.361 0.916 0.361
I: 0.285 0.589 0.842
I: 0.855 0.915 0.375
I: 0.283 0.091 0.844
I: 0.783 0.091 0.844
I: 0.352 0.419 0.374
I: 0.854 0.419 0.374

Results
Crystal system: monoclinic


Number 1: raw formation energy 0.139 eV/atom. Number 2: raw formation energy 0.262 eV/atom. Number 3: raw formation energy -0.466 eV/atom. Number 4: raw formation energy 0.718 eV/atom. Number 5: raw formation energy 0.796 eV/atom. Number 6: raw formation energy -0.335 eV/atom. Number 7: raw formation energy -0.180 eV/atom. Number 8: raw formation energy -0.190 eV/atom. Number 9: raw formation energy 0.224 eV/atom. Number 10: raw formation energy 0.092 eV/atom. Number 11: raw formation energy 0.174 eV/atom. Number 12: raw formation energy -0.321 eV/atom.